1) First-principles (PBE) data for a relaxed structure of LiHg2Au8, as listed in the Alexandria database.

DOS(E_F) = 0.364 states/eV/atom
V = 22.02 Å³/atom

POSCAR file:
```
LiHg2Au8
1.0
-3.505 3.110 -2.425
1.341 -0.595 -6.933
-5.215 -4.275 -2.178
Au Hg Li
8 2 1
Cartesian
-6.514 0.397 -4.712
-3.784 1.174 -4.308
-3.986 -3.909 -4.559
-3.393 2.150 -6.976
-0.865 -2.157 -6.824
-3.595 -2.934 -7.227
-4.619 -0.431 -6.702
-2.760 -1.329 -4.834
-5.449 -2.249 -9.253
-1.931 0.490 -2.283
0.000 0.000 0.000
```

2) First-principles (PBE) data for a relaxed structure of LiHg2Au8, as listed in the Alexandria database.

DOS(E_F) = 0.268 states/eV/atom
V = 18.47 Å³/atom

POSCAR file:
```
LiHg2Au8
1.0
3.972 0.000 -1.142
-0.682 6.237 -2.372
0.136 0.507 7.953
Au Li Hg
8 1 2
Cartesian
-0.312 4.619 -1.085
3.738 2.125 5.523
2.105 5.917 -0.155
0.425 1.235 1.477
3.001 5.509 2.962
1.379 3.908 4.797
1.321 0.827 4.594
2.047 2.837 -0.358
1.986 0.000 -0.571
2.923 2.520 2.688
0.503 4.224 1.750
```

The structure with the greatest stability is 2).

1) First-principles (PBE) data for a relaxed structure of LiHgAu, as listed in the Alexandria database.

DOS(E_F) = 0.228 states/eV/atom
V = 18.22 Å³/atom

POSCAR file:
```
LiHgAu
1.0
5.226 0.069 -0.042
2.875 4.365 0.042
-3.842 -2.597 2.410
Hg Au Li
1 1 1
Cartesian
2.656 1.454 0.000
0.128 0.070 0.000
5.317 2.910 0.000
```

2) First-principles (PBE) data for a relaxed structure of LiHgAu, as listed in the Alexandria database.

DOS(E_F) = 0.327 states/eV/atom
V = 18.23 Å³/atom

POSCAR file:
```
LiHgAu
1.0
-2.307 3.337 -2.239
1.842 -3.532 -2.368
-2.501 -1.516 0.316
Hg Li Au
1 1 1
Cartesian
-1.811 0.510 -2.169
-1.262 -2.286 -2.107
-2.393 -1.451 0.303
```

3) First-principles (PBE) data for a relaxed structure of LiHgAu, as listed in the Alexandria database.

DOS(E_F) = 0.227 states/eV/atom
V = 19.88 Å³/atom

POSCAR file:
```
LiHgAu
1.0
-0.705 -2.359 3.629
2.516 -3.484 0.874
2.879 0.148 3.305
Hg Li Au
1 1 1
Cartesian
2.345 -2.848 3.904
3.518 -4.272 5.856
0.000 0.000 0.000
```

The structure with the greatest stability is 1).

1) First-principles (PBE) data for a relaxed structure of Li4Hg2Au, as listed in the Alexandria database.

DOS(E_F) = 0.467 states/eV/atom
V = 18.33 Å³/atom

POSCAR file:
```
Li4Hg2Au
1.0
-1.445 -3.087 6.038
6.779 1.432 -0.264
-3.600 5.898 -0.572
Li Au Hg
8 2 4
Cartesian
2.204 2.253 3.369
4.624 3.072 0.194
-2.644 3.202 4.189
0.145 2.111 5.230
-1.951 4.727 1.154
1.242 2.326 0.348
4.032 -0.677 3.672
-0.715 -0.040 2.651
1.406 -0.125 4.254
0.000 0.000 0.000
-0.485 2.697 2.503
2.657 4.444 1.613
-2.184 0.502 4.956
3.480 0.844 1.332
```

2) First-principles (PBE) data for a relaxed structure of Li4Hg2Au, as listed in the Alexandria database.

DOS(E_F) = 0.573 states/eV/atom
V = 18.81 Å³/atom

POSCAR file:
```
Li4Hg2Au
1.0
4.376 0.000 1.367
1.974 3.905 1.367
-0.005 -0.003 7.703
Hg Au Li
2 1 4
Cartesian
4.733 2.911 7.911
1.612 0.991 2.526
0.000 0.000 0.000
5.537 3.405 5.336
2.424 1.490 7.616
0.808 0.497 5.102
3.921 2.411 2.822
```

The structure with the greatest stability is 2).

1) First-principles (PBE) data for a relaxed structure of LiHgAu4, as listed in the Alexandria database.

DOS(E_F) = 0.254 states/eV/atom
V = 18.08 Å³/atom

POSCAR file:
```
LiHgAu4
1.0
-2.012 3.088 -1.911
-2.166 -1.545 4.294
4.252 3.793 1.653
Au Li Hg
4 1 1
Cartesian
-1.414 0.607 2.470
-0.670 2.748 0.637
1.488 4.729 1.566
0.744 2.588 3.399
0.000 0.000 0.000
2.126 1.896 0.826
```

2) First-principles (PBE) data for a relaxed structure of LiHgAu4, as listed in the Alexandria database.

DOS(E_F) = 0.362 states/eV/atom
V = 18.09 Å³/atom

POSCAR file:
```
LiHgAu4
1.0
-0.465 4.438 -2.285
-4.580 -4.257 1.314
-4.360 3.376 7.292
Au Li Hg
8 2 2
Cartesian
-0.731 3.599 -1.075
-3.966 1.232 1.910
-8.674 -0.042 7.396
-5.913 0.701 6.698
-2.679 3.068 3.714
-3.492 2.855 -0.377
-5.439 2.324 4.412
-6.727 0.489 2.608
-1.206 1.953 1.252
-8.199 1.603 5.070
-2.523 0.090 -0.485
-4.470 -0.441 4.303
```

The structure with the greatest stability is 1).

1) First-principles (PBE) data for a relaxed structure of Li3Hg3Au, as listed in the Alexandria database.

DOS(E_F) = 0.224 states/eV/atom
V = 19.69 Å³/atom

POSCAR file:
```
Li3Hg3Au
1.0
7.738 0.000 0.000
3.869 6.701 0.000
3.869 2.234 5.316
Hg Li Au
6 6 2
Cartesian
9.828 6.436 1.467
10.487 3.641 3.849
4.989 5.294 1.467
7.079 7.262 3.849
5.648 2.500 3.849
8.397 1.673 1.467
2.706 3.634 1.104
12.238 8.408 4.211
5.663 2.541 1.104
9.814 6.394 4.211
12.770 5.302 4.211
3.238 0.527 1.104
7.738 4.468 4.407
7.738 4.468 0.909
```

2) First-principles (PBE) data for a relaxed structure of Li3Hg3Au, as listed in the Alexandria database.

DOS(E_F) = 0.333 states/eV/atom
V = 19.27 Å³/atom

POSCAR file:
```
Li3Hg3Au
1.0
6.642 0.151 -0.001
0.166 6.642 -0.001
0.000 0.000 6.119
Hg Li Au
6 6 2
Cartesian
4.859 1.937 3.059
4.675 2.123 -0.001
1.719 1.715 3.059
1.948 4.855 3.059
2.133 4.670 -0.001
5.088 5.077 3.059
6.724 3.471 4.665
0.000 0.000 1.408
0.083 3.321 1.453
3.321 0.075 1.453
3.487 6.717 4.665
6.807 6.792 4.710
5.142 5.130 6.118
1.666 1.662 0.000
```

The structure with the greatest stability is 2).

1) First-principles (PBE) data for a relaxed structure of Li3Hg2Au4, as listed in the Alexandria database.

DOS(E_F) = 0.240 states/eV/atom
V = 17.83 Å³/atom

POSCAR file:
```
Li3Hg2Au4
1.0
-5.094 -0.371 -0.168
-0.471 -7.612 2.821
-1.240 0.602 8.014
Hg Au Li
4 8 6
Cartesian
-2.126 -3.852 3.443
-4.680 -3.529 7.223
-4.870 -1.942 4.684
-1.936 -5.440 5.982
-4.524 -6.439 7.021
-3.676 -0.233 6.688
-6.253 -1.172 7.790
-2.186 -4.016 8.520
-2.282 -0.942 3.645
-0.552 -6.210 2.876
-4.619 -3.365 2.146
-3.129 -7.148 3.979
-2.290 -2.205 1.095
-2.234 -2.483 6.080
-1.796 -6.834 8.490
-5.010 -0.547 2.176
-4.572 -4.898 4.586
-4.516 -5.176 9.571
```

2) First-principles (PBE) data for a relaxed structure of Li3Hg2Au4, as listed in the Alexandria database.

DOS(E_F) = 0.176 states/eV/atom
V = 17.60 Å³/atom

POSCAR file:
```
Li3Hg2Au4
1.0
5.010 -0.651 0.641
2.038 3.477 0.604
3.418 1.176 9.035
Li Au Hg
3 4 2
Cartesian
5.556 0.550 5.539
4.909 3.452 4.741
0.000 0.000 0.000
7.967 3.311 8.950
2.499 0.691 1.330
7.466 2.061 4.141
3.000 1.941 6.139
5.470 2.638 7.488
4.996 1.364 2.793
```

The structure with the greatest stability is 2).